No. 1
Computed, not measured: a relaxed Si3TeIr crystal at the PBE level of DFT. Values from VASP.

Output
The density is 6.44 Mg/m³. The space group is Pm-3m (221). The uncorrected formation energy is 0.185 eV/atom. The value obtained for the relative energy among the computed polymorphs is 0.00 eV/f.u.

Geometry as Quantum ESPRESSO input:
```
&SYSTEM
  ibrav = 0, nat = 5, ntyp = 3
/
ATOMIC_SPECIES
Si 28.09 Si.upf
Ir 192.22 Ir.upf
Te 127.60 Te.upf
CELL_PARAMETERS angstrom
4.707 0.000 0.000
0.000 4.707 0.000
0.000 0.000 4.707
ATOMIC_POSITIONS crystal
Si 0.500 0.000 0.000
Ir 0.000 0.000 0.000
Si 0.000 0.500 0.000
Te 0.500 0.500 0.500
Si 0.000 0.000 0.500
```

=====

No. 2
Computed, not measured: a relaxed SiTe3Ir crystal at the PBE level of DFT. Values from VASP.

Output
The density is 7.64 Mg/m³. The space group is Pm-3m (221). The uncorrected formation energy is 1.230 eV/atom. The value obtained for the relative energy among the computed polymorphs is 2.21 eV/f.u.

Geometry as Quantum ESPRESSO input:
```
&SYSTEM
  ibrav = 0, nat = 5, ntyp = 3
/
ATOMIC_SPECIES
Si 28.09 Si.upf
Te 127.60 Te.upf
Ir 192.22 Ir.upf
CELL_PARAMETERS angstrom
-4.278 1.311 2.404
-1.383 -4.883 0.202
2.363 -0.485 4.470
ATOMIC_POSITIONS crystal
Si 0.000 0.000 0.000
Te 0.000 0.500 0.000
Te 0.500 0.000 0.000
Ir 0.500 0.500 0.500
Te 0.000 0.000 0.500
```

=====

No. 3
Computed, not measured: a relaxed Th8SiTe4Ir3 crystal at the PBE level of DFT. Values from VASP.

Output
The density is 10.41 Mg/m³. The space group is R-3m (166). The uncorrected formation energy is -1.053 eV/atom.

Geometry as Quantum ESPRESSO input:
```
&SYSTEM
  ibrav = 0, nat = 16, ntyp = 4
/
ATOMIC_SPECIES
Te 127.60 Te.upf
Th 232.04 Th.upf
Ir 192.22 Ir.upf
Si 28.09 Si.upf
CELL_PARAMETERS angstrom
-5.094 3.024 -6.117
-1.071 -8.338 -3.231
-1.871 1.419 8.187
ATOMIC_POSITIONS crystal
Te 0.500 0.000 0.500
Th 0.272 0.292 0.032
Th 0.240 0.708 0.480
Th 0.728 0.708 0.968
Te 0.000 0.000 0.000
Ir 0.500 0.500 0.000
Th 0.240 0.708 0.968
Si 0.000 0.500 0.000
Th 0.760 0.292 0.032
Th 0.734 0.701 0.468
Th 0.760 0.292 0.520
Ir 0.000 0.500 0.500
Te 0.500 0.000 0.000
Te 0.000 0.000 0.500
Th 0.266 0.299 0.532
Ir 0.500 0.500 0.500
```

=====

No. 4
Computed, not measured: a relaxed Th8Si3Te4Ir crystal at the PBE level of DFT. Values from VASP.

Output
The density is 9.22 Mg/m³. The space group is R-3m (166). The uncorrected formation energy is -0.994 eV/atom.

Geometry as Quantum ESPRESSO input:
```
&SYSTEM
  ibrav = 0, nat = 16, ntyp = 4
/
ATOMIC_SPECIES
Th 232.04 Th.upf
Si 28.09 Si.upf
Te 127.60 Te.upf
Ir 192.22 Ir.upf
CELL_PARAMETERS angstrom
8.644 0.000 0.000
0.000 8.890 0.168
-4.322 -4.319 6.116
ATOMIC_POSITIONS crystal
Th 0.768 0.290 0.022
Si 0.500 0.500 0.000
Si 0.500 0.500 0.500
Te 0.500 0.000 0.500
Te 0.500 0.000 0.000
Th 0.262 0.287 0.524
Th 0.254 0.290 0.022
Th 0.232 0.710 0.978
Th 0.232 0.710 0.465
Te 0.000 0.000 0.000
Th 0.746 0.710 0.978
Th 0.768 0.290 0.535
Si 0.000 0.500 0.500
Ir 0.000 0.500 0.000
Te 0.000 0.000 0.500
Th 0.738 0.713 0.476
```

=====

No. 5
Computed, not measured: a relaxed TlSiTeIr2 crystal at the PBE level of DFT. Values from VASP.

Output
The density is 8.97 Mg/m³. The space group is P4/mmm (123). The uncorrected formation energy is 1.597 eV/atom.

Geometry as Quantum ESPRESSO input:
```
&SYSTEM
  ibrav = 0, nat = 5, ntyp = 4
/
ATOMIC_SPECIES
Te 127.60 Te.upf
Ir 192.22 Ir.upf
Si 28.09 Si.upf
Tl 204.38 Tl.upf
CELL_PARAMETERS angstrom
4.882 0.000 0.000
0.000 5.781 0.000
0.000 0.000 4.882
ATOMIC_POSITIONS crystal
Te 0.000 0.000 0.000
Ir 0.500 0.000 0.000
Si 0.500 0.500 0.500
Tl 0.000 0.500 0.000
Ir 0.000 0.000 0.500
```

=====

No. 6
Computed, not measured: a relaxed ThSi2Ir2 crystal at the PBE level of DFT. Values from VASP.

Output
The density is 12.40 Mg/m³. The space group is I4/mmm (139). The uncorrected formation energy is -0.934 eV/atom.

Geometry as Quantum ESPRESSO input:
```
&SYSTEM
  ibrav = 0, nat = 5, ntyp = 3
/
ATOMIC_SPECIES
Si 28.09 Si.upf
Th 232.04 Th.upf
Ir 192.22 Ir.upf
CELL_PARAMETERS angstrom
5.838 0.002 0.000
2.756 5.147 0.000
-4.297 -2.574 2.999
ATOMIC_POSITIONS crystal
Si 0.250 0.750 0.500
Th 0.000 0.000 0.000
Ir 0.632 0.632 0.000
Si 0.750 0.250 0.500
Ir 0.368 0.368 0.000
```

=====

No. 7
Computed, not measured: a relaxed Th2Si3Ir crystal at the PBE level of DFT. Values from VASP.

Output
The density is 9.89 Mg/m³. The space group is Fmmm (69). The uncorrected formation energy is -0.960 eV/atom. The value obtained for the relative energy among the computed polymorphs is 0.00 eV/f.u.

Geometry as Quantum ESPRESSO input:
```
&SYSTEM
  ibrav = 0, nat = 12, ntyp = 3
/
ATOMIC_SPECIES
Ir 192.22 Ir.upf
Si 28.09 Si.upf
Th 232.04 Th.upf
CELL_PARAMETERS angstrom
5.912 0.213 0.000
-0.017 5.915 0.000
-2.947 -3.064 7.114
ATOMIC_POSITIONS crystal
Ir 0.333 0.333 0.665
Si 0.166 0.668 0.833
Si 0.668 0.166 0.833
Th 0.250 0.250 0.000
Th 0.250 0.750 0.500
Si 0.834 0.834 0.668
Si 0.166 0.166 0.332
Th 0.750 0.750 0.000
Si 0.332 0.834 0.167
Th 0.750 0.250 0.500
Si 0.834 0.332 0.167
Ir 0.667 0.667 0.335
```

=====

No. 8
Computed, not measured: a relaxed Th2SiIr3 crystal at the PBE level of DFT. Values from VASP.

Output
The density is 13.93 Mg/m³. The space group is Pmm2 (25). The uncorrected formation energy is -0.858 eV/atom.

Geometry as Quantum ESPRESSO input:
```
&SYSTEM
  ibrav = 0, nat = 6, ntyp = 3
/
ATOMIC_SPECIES
Ir 192.22 Ir.upf
Si 28.09 Si.upf
Th 232.04 Th.upf
CELL_PARAMETERS angstrom
3.962 0.000 0.000
0.000 4.071 0.000
0.000 0.000 7.901
ATOMIC_POSITIONS crystal
Ir 0.500 0.500 0.634
Si 0.500 0.500 0.332
Ir 0.500 0.000 0.183
Ir 0.500 0.000 0.848
Th 0.000 0.000 0.509
Th 0.000 0.500 0.993
```

=====

no.,volume (Å³/f.u.),DOS(E_F) (states/eV/atom),spin magnetization (μB per formula unit)
1,104,0.367,0.00
2,131,0.957,0.00
3,474,0.955,0.00
4,476,0.518,0.00
5,138,1.528,0.00
6,90,0.672,0.00
7,124,0.360,0.00
8,127,0.635,0.00